Record 1
Here is crystalline PrSmDy2Er5 at its relaxed geometry from the Alexandria database. Energies are from PBE-GGA.

Geometry as extended XYZ:
```
18
Lattice="8.864 0.000 0.000 0.000 8.864 0.000 -4.432 -4.432 7.395" Properties=species:S:1:pos:R:3 pbc="T T T"
Er -1.815 -2.617 5.443
Sm 0.000 4.432 3.697
Er 2.617 -1.815 5.443
Dy 3.424 7.856 0.000
Pr 4.432 4.432 3.697
Er 7.049 2.617 1.952
Er 1.815 2.617 5.443
Dy 1.008 3.424 0.000
Dy 5.440 1.008 0.000
Er 1.815 6.247 1.952
Er 0.000 0.000 0.000
Pr 0.000 0.000 3.697
Er 2.617 1.815 1.952
Er 6.247 7.049 1.952
Er -2.617 1.815 5.443
Dy 7.856 5.440 0.000
Er 4.432 4.432 0.000
Sm 4.432 0.000 3.697
```

Values from the calculation:
Calculated formation energy: 279.0 meV/atom

Record 2
Here is crystalline PmPr4Hg at its relaxed geometry from the Alexandria database. Energies are from PBE-GGA.

Geometry as extended XYZ:
```
6
Lattice="3.742 0.000 0.000 0.000 3.742 0.000 0.000 0.000 14.361" Properties=species:S:1:pos:R:3 pbc="T T T"
Pr 0.000 0.000 9.221
Pr 1.871 1.871 11.802
Hg 1.871 1.871 7.180
Pr 0.000 0.000 5.140
Pm 0.000 0.000 0.000
Pr 1.871 1.871 2.559
```

Values from the calculation:
Calculated formation energy: -149.6 meV/atom

Record 3
Here is crystalline MnCuW2 at its relaxed geometry from the Alexandria database. Energies are from PBE-GGA.

Geometry as extended XYZ:
```
4
Lattice="-0.338 -0.189 -2.709 -0.211 -3.749 0.288 -5.350 0.351 0.644" Properties=species:S:1:pos:R:3 pbc="T T T"
Mn -4.288 -1.706 -0.727
W -2.722 0.179 0.328
Cu -1.612 -1.881 -1.050
W -5.303 0.348 0.638
```

Values from the calculation:
Calculated formation energy: 284.8 meV/atom

Number 1: ρ 8.30 Mg/m³, total magnetic moment 0.001 μB per atom. Number 2: ρ 7.51 Mg/m³, total magnetic moment 0.000 μB per atom. Number 3: ρ 14.51 Mg/m³, total magnetic moment 0.173 μB per atom.